1.
A plane-wave DFT calculation with PBE was carried out for crystalline Y2ErPuO8 at its relaxed geometry.

The structure belongs to space group Cmmm (No. 65); the cell edges are 7.126, 7.277 and 6.940 Å and the angles 90.00°, 90.00° and 90.00°. The asymmetric unit holds Y at (0.000, 0.000, 0.241), Er at (0.000, 0.500, 0.000), Pu at (0.000, 0.500, 0.500), O at (0.000, 0.318, 0.277), O at (0.195, 0.000, 0.000) and O at (0.220, 0.000, 0.500).

As for the raw formation energy: -3570 kJ/mol of formula units. Its calculated density is 6.617 g/cm³.

2.
A plane-wave DFT calculation with PBE was carried out for crystalline RbErRe2O8 at its relaxed geometry.

The structure belongs to space group P-3m1 (No. 164); the cell edges are 6.0163, 6.0163 and 7.9502 Å and the angles 90.00°, 90.00° and 120.00°. The asymmetric unit holds Rb at (0.0000, 0.0000, 0.0000), Er at (0.0000, 0.0000, 0.5000), Re at (0.3333, 0.6667, 0.7467), O at (0.1699, 0.3398, 0.6695) and O at (0.3333, 0.6667, 0.9686).

As for the raw formation energy: -2338 kJ/mol of formula units. Its calculated density is 5.018 g/cm³.

3.
A plane-wave DFT calculation with PBE was carried out for crystalline Rb2ErReO6 at its relaxed geometry.

The structure belongs to space group Fm-3m (No. 225); the cell edges are 8.377, 8.377 and 8.377 Å and the angles 90.00°, 90.00° and 90.00°. The asymmetric unit holds Rb at (0.250, 0.250, 0.250), Er at (0.000, 0.000, 0.000), Re at (0.000, 0.000, 0.500) and O at (0.000, 0.000, 0.272).

As for the raw formation energy: -2124 kJ/mol of formula units. Its calculated density is 7.010 g/cm³.

4.
A plane-wave DFT calculation with PBE was carried out for crystalline RbErReO6 at its relaxed geometry.

The structure belongs to space group C2 (No. 5); the cell edges are 5.720, 10.047 and 5.936 Å and the angles 90.00°, 90.98° and 90.00°. The asymmetric unit holds Rb at (0.000, 0.000, 0.000), Er at (0.000, 0.318, 0.500), Re at (0.000, 0.679, 0.500), O at (0.101, 0.516, 0.346), O at (0.167, 0.783, 0.303) and O at (0.234, 0.192, 0.308).

As for the raw formation energy: -1749 kJ/mol of formula units. Its calculated density is 5.209 g/cm³.

5.
A plane-wave DFT calculation with PBE was carried out for crystalline Rb3Er3RhO8 at its relaxed geometry.

The structure belongs to space group R-3m (No. 166, hexagonal axes); the cell edges are 6.7373, 6.7373 and 19.7293 Å and the angles 90.00°, 90.00° and 120.00°. The asymmetric unit holds Rb at (0.0000, 0.5000, 0.0000), Er at (0.0000, 0.5000, 0.5000), Rh at (0.0000, 0.0000, 0.5000), O at (0.0000, 0.0000, 0.2235) and O at (0.0225, 0.5112, 0.2217).

As for the raw formation energy: -3364 kJ/mol of formula units. Its calculated density is 6.353 g/cm³.

6.
A plane-wave DFT calculation with PBE was carried out for crystalline Rb3Er3RuO8 at its relaxed geometry.

The structure belongs to space group R-3m (No. 166, hexagonal axes); the cell edges are 6.7362, 6.7362 and 19.7308 Å and the angles 90.00°, 90.00° and 120.00°. The asymmetric unit holds Rb at (0.0000, 0.5000, 0.0000), Er at (0.0000, 0.5000, 0.5000), Ru at (0.0000, 0.0000, 0.5000), O at (0.0000, 0.0000, 0.2236) and O at (0.0238, 0.5119, 0.2214).

As for the raw formation energy: -3422 kJ/mol of formula units. Its calculated density is 6.342 g/cm³.

7.
A plane-wave DFT calculation with PBE was carried out for crystalline Rb4Er3RuO8 at its relaxed geometry.

The structure belongs to space group R-3m (No. 166, hexagonal axes); the cell edges are 6.8062, 6.8062 and 19.4675 Å and the angles 90.00°, 90.00° and 120.00°. The asymmetric unit holds Rb at (0.0000, 0.0000, 0.0000), Rb at (0.0000, 0.5000, 0.0000), Er at (0.0000, 0.5000, 0.5000), Ru at (0.0000, 0.0000, 0.5000), O at (0.0000, 0.0000, 0.2249) and O at (0.0097, 0.5049, 0.2247).

As for the raw formation energy: -3423 kJ/mol of formula units. Its calculated density is 6.842 g/cm³.

8.
A plane-wave DFT calculation with PBE was carried out for crystalline RbErRuO6 at its relaxed geometry.

The structure belongs to space group P312 (No. 149); the cell edges are 5.6043, 5.6043 and 6.1521 Å and the angles 90.00°, 90.00° and 120.00°. The asymmetric unit holds Rb at (0.0000, 0.0000, 0.0000), Er at (0.3333, 0.6667, 0.5000), Ru at (0.6667, 0.3333, 0.5000) and O at (0.4131, 0.0441, 0.6792).

As for the raw formation energy: -1326 kJ/mol of formula units. Its calculated density is 4.463 g/cm³.